Sr4IrO6 after structural relaxation, computed with GGA-PBE.

Lattice parameters (Å, degrees): 6.867 6.867 6.867 90.20 90.20 90.20
Each line ends with the local moment (μB).
Atoms (fractional coordinates):
Sr: 0.750 0.750 0.750  0.00
O: 0.714 0.927 0.059  0.07
O: 0.573 0.786 0.441  0.06
Sr: 0.250 0.884 0.616  0.00
O: 0.286 0.073 0.941  0.07
O: 0.059 0.714 0.927  0.05
O: 0.559 0.427 0.214  0.05
Sr: 0.384 0.750 0.116  0.00
O: 0.427 0.214 0.559  0.06
Ir: 0.500 0.500 0.500  0.56
Sr: 0.750 0.116 0.384  0.00
O: 0.214 0.559 0.427  0.06
O: 0.941 0.286 0.073  0.05
Sr: 0.250 0.250 0.250  0.00
O: 0.786 0.441 0.573  0.06
Sr: 0.616 0.250 0.884  0.00
Sr: 0.116 0.384 0.750  0.00
Ir: 0.000 0.000 0.000  0.59
O: 0.927 0.059 0.714  0.05
Sr: 0.884 0.616 0.250  0.00
O: 0.073 0.941 0.286  0.05
O: 0.441 0.573 0.786  0.05

## Properties
Total DFT energy (no corrections)   -6.376 eV per atom
Spin magnetization   1.00 μB/f.u.
SG   R-3c